[1]
VASP calculation (PBE) on a relaxed structure of RbSrTa.

a b c (Å): 7.0392 7.0392 12.5880
angles (deg): 90.00 90.00 120.00
Space group P6_3/mmc (No. 194)
Symmetry-distinct sites (fractional):
Rb 0.3333 0.6667 0.2500 (multiplicity 2)
Sr 0.0000 0.0000 0.2500 (multiplicity 2)
Ta 0.0000 0.0000 0.0000 (multiplicity 2)

Summary:
Polymorph energy (0 for the lowest one) = 577.7 kJ/mol of formula units
ΔE_f = 2455 meV/atom
E = -2.38 eV/atom
V = 90.028 Å³ per atom



[2]
VASP calculation (PBE) on a relaxed structure of Er2Ga5Ru3.

a b c (Å): 4.265 24.972 6.486
angles (deg): 90.00 90.00 90.00
Space group Cmc2_1 (No. 36)
Symmetry-distinct sites (fractional):
Er 0.000 0.026 0.000 (multiplicity 4)
Er 0.000 0.326 0.982 (multiplicity 4)
Ga 0.000 0.094 0.405 (multiplicity 4)
Ga 0.000 0.198 0.150 (multiplicity 4)
Ga 0.000 0.227 0.724 (multiplicity 4)
Ga 0.000 0.384 0.536 (multiplicity 4)
Ga 0.000 0.438 0.182 (multiplicity 4)
Ru 0.000 0.127 0.786 (multiplicity 4)
Ru 0.000 0.288 0.424 (multiplicity 4)
Ru 0.000 0.460 0.796 (multiplicity 4)

Summary:
ΔE_f = -491 meV/atom
E = -5.70 eV/atom
V = 17.270 Å³ per atom



[3]
VASP calculation (PBE) on a relaxed structure of EuSnBiAu.

a b c (Å): 7.640 7.640 7.640
angles (deg): 90.00 90.00 90.00
Space group F-43m (No. 216)
Symmetry-distinct sites (fractional):
Eu 0.000 0.000 0.000 (multiplicity 4)
Sn 0.000 0.000 0.500 (multiplicity 4)
Bi 0.250 0.250 0.750 (multiplicity 4)
Au 0.250 0.250 0.250 (multiplicity 4)

Summary:
ΔE_f = -407 meV/atom
E = -5.77 eV/atom
V = 27.867 Å³ per atom



[4]
VASP calculation (PBE) on a relaxed structure of Na3Al2As4.

a b c (Å): 13.089 4.241 8.066
angles (deg): 90.00 107.10 90.00
Space group C2/m (No. 12)
Symmetry-distinct sites (fractional):
Na 0.000 0.000 0.000 (multiplicity 2)
Na 0.081 0.500 0.677 (multiplicity 4)
Al 0.213 0.500 0.343 (multiplicity 4)
As 0.119 0.000 0.400 (multiplicity 4)
As 0.205 0.500 0.027 (multiplicity 4)

Summary:
Polymorph energy (0 for the lowest one) = 58.2 kJ/mol of formula units
ΔE_f = -378 meV/atom
E = -3.72 eV/atom
V = 23.777 Å³ per atom



[5]
VASP calculation (PBE) on a relaxed structure of Tb2Sm2Dy2Tm.

a b c (Å): 5.6670 5.6670 24.4887
angles (deg): 90.00 90.00 120.00
Space group R-3m (No. 166, hexagonal axes)
Symmetry-distinct sites (fractional):
Tb 0.0000 0.0000 0.2139 (multiplicity 6)
Sm 0.0000 0.0000 0.3604 (multiplicity 6)
Dy 0.0000 0.0000 0.0723 (multiplicity 6)
Tm 0.0000 0.0000 0.5000 (multiplicity 3)

Summary:
ΔE_f = 143 meV/atom
E = -4.48 eV/atom
V = 32.433 Å³ per atom



[6]
VASP calculation (PBE) on a relaxed structure of Sb2PtBr.

a b c (Å): 3.7322 3.7322 27.6060
angles (deg): 90.00 90.00 120.00
Space group R3m (No. 160, hexagonal axes)
Symmetry-distinct sites (fractional):
Sb 0.0000 0.0000 0.0000 (multiplicity 3)
Sb 0.0000 0.0000 0.2495 (multiplicity 3)
Pt 0.0000 0.0000 0.7218 (multiplicity 3)
Br 0.0000 0.0000 0.4489 (multiplicity 3)

Summary:
Polymorph energy (0 for the lowest one) = 128.7 kJ/mol of formula units
E = -4.07 eV/atom
E_form (uncorrected) = -7.8 kJ/mol of atoms
V = 27.752 Å³ per atom